Computed, not measured: a relaxed structure of V2CdB2 at the PBE-GGA level of DFT.

calculated formation energy	0.251	eV per atom
magnetic moment	1.28	Bohr magnetons per cell
calculated density	6.49	Mg/m³
electronic total energy	-62.5	eV/cell
energy above the lowest structure with this stoichiometry	313.3	meV/atom

```
data_V2CdB2
_chemical_formula_sum 'V4 Cd2 B4'
_symmetry_space_group_name_H-M 'I 4/m m m'
_symmetry_Int_Tables_number 139
_symmetry_space_group_name_Hall '-I 4 2'
_cell_length_a 3.615
_cell_length_b 3.615
_cell_length_c 9.244
_cell_angle_alpha 90.00
_cell_angle_beta 90.00
_cell_angle_gamma 90.00
loop_
_atom_site_label
_atom_site_fract_x
_atom_site_fract_y
_atom_site_fract_z
_atom_site_occupancy
V1 0.000 0.500 0.250 1
Cd1 0.000 0.000 0.000 1
B1 0.000 0.000 0.406 1
```

Computed, not measured: a relaxed structure of Cs5AuI2Br at the PBE-GGA level of DFT.

energy relative to the elements, uncorrected	-1.092	eV/atom
magnetic moment	0.02	Bohr magnetons per cell
calculated density	3.60	Mg/m³
electronic total energy	-88.6	eV/cell

```
data_Cs5AuI2Br
_chemical_formula_sum 'Cs20 Au4 I8 Br4'
_symmetry_space_group_name_H-M 'C m c 21'
_symmetry_Int_Tables_number 36
_cell_length_a 5.496
_cell_length_b 22.332
_cell_length_c 17.985
_cell_angle_alpha 90.00
_cell_angle_beta 90.00
_cell_angle_gamma 90.00
loop_
_symmetry_equiv_pos_as_xyz
'x,y,z'
'-x,-y,z+1/2'
'-x,y,z'
'x,-y,z+1/2'
'x+1/2,y+1/2,z'
'-x+1/2,-y+1/2,z+1/2'
'-x+1/2,y+1/2,z'
'x+1/2,-y+1/2,z+1/2'
loop_
_atom_site_label
_atom_site_fract_x
_atom_site_fract_y
_atom_site_fract_z
_atom_site_occupancy
Cs1 0.000 0.017 0.000 1
Cs2 0.000 0.102 0.716 1
Cs3 0.000 0.217 0.151 1
Cs4 0.000 0.245 0.421 1
Cs5 0.000 0.418 0.811 1
Au1 0.000 0.060 0.192 1
I1 0.000 0.373 0.034 1
I2 0.000 0.416 0.370 1
Br1 0.000 0.257 0.783 1
```

Computed, not measured: a relaxed structure of Pr2BeGe4Au3 at the PBE-GGA level of DFT.

calculated formation energy	-0.482	eV per atom
magnetic moment	0.00	Bohr magnetons per cell
calculated density	9.57	Mg/m³
electronic total energy	-46.4	eV/cell

```
data_Pr2BeGe4Au3
_chemical_formula_sum 'Pr2 Be1 Ge4 Au3'
_symmetry_space_group_name_H-M 'P -4 m 2'
_symmetry_Int_Tables_number 115
_cell_length_a 4.287
_cell_length_b 4.287
_cell_length_c 11.063
_cell_angle_alpha 90.00
_cell_angle_beta 90.00
_cell_angle_gamma 90.00
loop_
_symmetry_equiv_pos_as_xyz
'x,y,z'
'y,-x,-z'
'-x,-y,z'
'-y,x,-z'
'-x,y,z'
'-y,-x,-z'
'x,-y,z'
'y,x,-z'
loop_
_atom_site_label
_atom_site_fract_x
_atom_site_fract_y
_atom_site_fract_z
_atom_site_occupancy
Pr1 0.000 0.500 0.236 1
Be1 0.500 0.500 0.000 1
Ge1 0.000 0.000 0.500 1
Ge2 0.000 0.500 0.873 1
Ge3 0.500 0.500 0.500 1
Au1 0.000 0.000 0.000 1
Au2 0.000 0.500 0.645 1
```

Computed, not measured: a relaxed structure of BeTlAs2 at the PBE-GGA level of DFT.

calculated formation energy	0.120	eV per atom
magnetic moment	0.00	Bohr magnetons per cell
calculated density	6.48	Mg/m³
electronic total energy	-14.9	eV/cell
energy above the lowest structure with this stoichiometry	132.2	meV/atom

```
data_BeTlAs2
_chemical_formula_sum 'Be1 Tl1 As2'
_symmetry_space_group_name_H-M 'P 1 m 1'
_symmetry_Int_Tables_number 6
_cell_length_a 4.109
_cell_length_b 3.510
_cell_length_c 6.459
_cell_angle_alpha 90.00
_cell_angle_beta 90.84
_cell_angle_gamma 90.00
loop_
_symmetry_equiv_pos_as_xyz
'x,y,z'
'x,-y,z'
loop_
_atom_site_label
_atom_site_fract_x
_atom_site_fract_y
_atom_site_fract_z
_atom_site_occupancy
Be1 0.000 0.000 0.000 1
Tl1 0.203 0.500 0.511 1
As1 0.493 0.000 0.150 1
As2 0.719 0.500 0.865 1
```

Computed, not measured: a relaxed structure of CaPdPb2O6 at the PBE-GGA level of DFT.

energy relative to the elements, uncorrected	-1.174	eV/atom
magnetic moment	0.00	Bohr magnetons per cell
calculated density	7.77	Mg/m³
electronic total energy	-112.2	eV/cell

```
data_CaPdPb2O6
_chemical_formula_sum 'Ca2 Pd2 Pb4 O12'
_symmetry_space_group_name_H-M 'P 1 21/c 1'
_symmetry_Int_Tables_number 14
_cell_length_a 5.622
_cell_length_b 6.033
_cell_length_c 9.939
_cell_angle_alpha 90.00
_cell_angle_beta 123.57
_cell_angle_gamma 90.00
loop_
_symmetry_equiv_pos_as_xyz
'x,y,z'
'-x,-y,-z'
'-x,y+1/2,-z+1/2'
'x,-y+1/2,z+1/2'
loop_
_atom_site_label
_atom_site_fract_x
_atom_site_fract_y
_atom_site_fract_z
_atom_site_occupancy
Ca1 0.000 0.000 0.000 1
Pd1 0.500 0.000 0.500 1
Pb1 0.216 0.044 0.729 1
O1 0.163 0.170 0.467 1
O2 0.229 0.731 0.405 1
O3 0.403 0.088 0.277 1
```

Computed, not measured: a relaxed structure of YAl2Se at the PBE-GGA level of DFT.

energy relative to the elements, uncorrected	-0.450	eV/atom
magnetic moment	0.00	Bohr magnetons per cell
calculated density	4.42	Mg/m³
electronic total energy	-38.5	eV/cell

```
data_YAl2Se
_chemical_formula_sum 'Y2 Al4 Se2'
_symmetry_space_group_name_H-M 'I -4 m 2'
_symmetry_Int_Tables_number 119
_symmetry_space_group_name_Hall 'I -4 -2'
_cell_length_a 4.351
_cell_length_b 4.351
_cell_length_c 8.808
_cell_angle_alpha 90.00
_cell_angle_beta 90.00
_cell_angle_gamma 90.00
loop_
_atom_site_label
_atom_site_fract_x
_atom_site_fract_y
_atom_site_fract_z
_atom_site_occupancy
Y1 0.000 0.000 0.000 1
Al1 0.000 0.000 0.500 1
Al2 0.000 0.500 0.750 1
Se1 0.000 0.500 0.250 1
```

Computed, not measured: a relaxed structure of Pm2TmSi3Pt12 at the PBE-GGA level of DFT.

energy relative to the elements, uncorrected	-0.565	eV/atom
magnetic moment	0.00	Bohr magnetons per cell
calculated density	13.29	Mg/m³
electronic total energy	-338.7	eV/cell

```
data_Pm2TmSi3Pt12
_chemical_formula_sum 'Pm6 Tm3 Si9 Pt36'
_symmetry_space_group_name_H-M 'R -3 m'
_symmetry_Int_Tables_number 166
_symmetry_space_group_name_Hall '-R 3 2"'
_cell_length_a 8.3315
_cell_length_b 8.3315
_cell_length_c 17.9824
_cell_angle_alpha 90.00
_cell_angle_beta 90.00
_cell_angle_gamma 120.00
loop_
_atom_site_label
_atom_site_fract_x
_atom_site_fract_y
_atom_site_fract_z
_atom_site_occupancy
Pm1 0.0000 0.0000 0.0993 1
Tm1 0.0000 0.0000 0.5000 1
Si1 0.0000 0.5000 0.0000 1
Pt1 0.0279 0.5140 0.8694 1
Pt2 0.0325 0.5163 0.3667 1
```

Computed, not measured: a relaxed structure of ScZnPO2 at the PBE-GGA level of DFT.

energy relative to the elements, uncorrected	-0.623	eV/atom
magnetic moment	0.00	Bohr magnetons per cell
calculated density	4.10	Mg/m³
electronic total energy	-26.0	eV/cell
energy above the lowest structure with this stoichiometry	288.6	meV/atom

```
data_ScZnPO2
_chemical_formula_sum 'Sc1 Zn1 P1 O2'
_symmetry_space_group_name_H-M 'P 4/m m m'
_symmetry_Int_Tables_number 123
_symmetry_space_group_name_Hall '-P 4 2'
_cell_length_a 3.865
_cell_length_b 3.865
_cell_length_c 4.702
_cell_angle_alpha 90.00
_cell_angle_beta 90.00
_cell_angle_gamma 90.00
loop_
_atom_site_label
_atom_site_fract_x
_atom_site_fract_y
_atom_site_fract_z
_atom_site_occupancy
Sc1 0.000 0.000 0.000 1
Zn1 0.500 0.500 0.500 1
P1 0.500 0.500 0.000 1
O1 0.000 0.500 0.500 1
```

Computed, not measured: a relaxed structure of Sc2BeRhC at the PBE-GGA level of DFT.

calculated formation energy	-0.528	eV per atom
magnetic moment	0.00	Bohr magnetons per cell
calculated density	4.99	Mg/m³
electronic total energy	-35.6	eV/cell

```
data_Sc2BeRhC
_chemical_formula_sum 'Sc2 Be1 Rh1 C1'
_symmetry_space_group_name_H-M 'P 4/m m m'
_symmetry_Int_Tables_number 123
_symmetry_space_group_name_Hall '-P 4 2'
_cell_length_a 4.595
_cell_length_b 4.595
_cell_length_c 3.373
_cell_angle_alpha 90.00
_cell_angle_beta 90.00
_cell_angle_gamma 90.00
loop_
_atom_site_label
_atom_site_fract_x
_atom_site_fract_y
_atom_site_fract_z
_atom_site_occupancy
Sc1 0.000 0.500 0.000 1
Be1 0.000 0.000 0.500 1
Rh1 0.500 0.500 0.500 1
C1 0.000 0.000 0.000 1
```

Computed, not measured: a relaxed structure of Th2CuOs at the PBE-GGA level of DFT.

calculated formation energy	-0.148	eV per atom
magnetic moment	0.00	Bohr magnetons per cell
calculated density	13.10	Mg/m³
electronic total energy	-30.8	eV/cell

```
data_Th2CuOs
_chemical_formula_sum 'Th2 Cu1 Os1'
_symmetry_space_group_name_H-M 'P 4/m m m'
_symmetry_Int_Tables_number 123
_symmetry_space_group_name_Hall '-P 4 2'
_cell_length_a 5.120
_cell_length_b 5.120
_cell_length_c 3.470
_cell_angle_alpha 90.00
_cell_angle_beta 90.00
_cell_angle_gamma 90.00
loop_
_atom_site_label
_atom_site_fract_x
_atom_site_fract_y
_atom_site_fract_z
_atom_site_occupancy
Th1 0.000 0.500 0.000 1
Cu1 0.000 0.000 0.500 1
Os1 0.500 0.500 0.500 1
```

- calculated density of number 5 (CaPdPb2O6)?
  7.77 Mg/m³

- electronic total energy of number 8 (ScZnPO2)?
  -26.0 eV/cell

- What is the magnetic moment in the fourth record?
  0.00 Bohr magnetons per cell